Entry 1:
A crystal of KRb2Au2 relaxed with PBEsol, computed with SCAN.

Values from the calculation:
volume: 192.3 Å³/f.u.
total moment: 0.00 μB per atom
formation energy: -0.239 eV per atom
N(E_F): 2.6 states/eV/cell
space group: No. 139

Cell: 8.009 8.009 8.009 Å, 142.12 142.12 54.65°
Fractional positions:
K (0.000, 0.000, 0.000)
Rb (0.250, 0.750, 0.500)
Rb (0.750, 0.250, 0.500)
Au (0.405, 0.405, 0.000)
Au (0.595, 0.595, 0.000)

---

Entry 2:
A crystal of Cr2CoSb relaxed with PBEsol, computed with SCAN.

Values from the calculation:
volume: 54.1 Å³/f.u.
total moment: 0.34 μB per atom
formation energy (no corrections): 0.286 eV per atom
N(E_F): 3.2 states/eV/cell
space group: No. 25

Cell: 2.930 4.158 4.442 Å, 90.00 90.00 90.00°
Fractional positions:
Cr (0.000, 0.000, 0.000)
Cr (0.000, 0.500, 0.268)
Co (0.500, 0.000, 0.449)
Sb (0.500, 0.500, 0.773)

---

Entry 3:
A crystal of Li3Zn3Ge6O16 relaxed with PBEsol, computed with SCAN.

Values from the calculation:
volume: 285.1 Å³/f.u.
total moment: 0.00 μB per atom
formation energy (no corrections): -1.837 eV per atom
N(E_F): 2.8 states/eV/cell
space group: No. 4

Cell: 8.292 8.291 8.292 Å, 90.00 90.04 90.00°
Fractional positions:
Li (0.123, 0.000, 0.123)
Li (0.249, 0.627, 0.000)
Li (0.374, 0.751, 0.628)
Li (0.626, 0.251, 0.372)
Li (0.751, 0.127, 0.000)
Li (0.877, 0.500, 0.877)
Zn (0.002, 0.875, 0.753)
Zn (0.252, 0.124, 0.497)
Zn (0.498, 0.878, 0.251)
Zn (0.502, 0.378, 0.749)
Zn (0.748, 0.624, 0.503)
Zn (0.998, 0.375, 0.247)
Ge (0.120, 0.254, 0.879)
Ge (0.127, 0.505, 0.632)
Ge (0.127, 0.754, 0.371)
Ge (0.373, 0.995, 0.876)
Ge (0.378, 0.501, 0.375)
Ge (0.379, 0.251, 0.127)
Ge (0.621, 0.751, 0.873)
Ge (0.622, 0.001, 0.625)
Ge (0.627, 0.495, 0.124)
Ge (0.873, 0.005, 0.368)
Ge (0.873, 0.254, 0.629)
Ge (0.880, 0.754, 0.121)
O (0.102, 0.747, 0.145)
O (0.106, 0.980, 0.377)
O (0.114, 0.263, 0.635)
O (0.122, 0.730, 0.606)
O (0.130, 0.481, 0.854)
O (0.138, 0.513, 0.388)
O (0.145, 0.254, 0.104)
O (0.148, 0.020, 0.872)
O (0.354, 0.733, 0.373)
O (0.358, 0.499, 0.602)
O (0.363, 0.238, 0.887)
O (0.373, 0.269, 0.353)
O (0.377, 0.024, 0.107)
O (0.388, 0.488, 0.139)
O (0.394, 0.773, 0.879)
O (0.395, 0.004, 0.643)
O (0.605, 0.504, 0.357)
O (0.606, 0.273, 0.121)
O (0.612, 0.988, 0.861)
O (0.623, 0.524, 0.893)
O (0.627, 0.769, 0.647)
O (0.637, 0.738, 0.113)
O (0.642, 0.999, 0.398)
O (0.646, 0.233, 0.627)
O (0.852, 0.520, 0.128)
O (0.855, 0.754, 0.896)
O (0.862, 0.013, 0.612)
O (0.870, 0.981, 0.146)
O (0.878, 0.230, 0.394)
O (0.886, 0.763, 0.365)
O (0.894, 0.480, 0.623)
O (0.898, 0.247, 0.855)